Computed, not measured: crystalline Ac2Nd6Y at its relaxed geometry at the PBE-GGA level of DFT.

```
data_Ac2Nd6Y
_chemical_formula_sum 'Ac8 Nd24 Y4'
_cell_length_a 15.718
_cell_length_b 10.254
_cell_length_c 9.344
_cell_angle_alpha 90.00
_cell_angle_beta 117.99
_cell_angle_gamma 90.00
_symmetry_space_group_name_H-M 'C 1 2/c 1'
_symmetry_Int_Tables_number 15
_symmetry_space_group_name_Hall '-C 2yc'
loop_
_atom_site_label
_atom_site_fract_x
_atom_site_fract_y
_atom_site_fract_z
Ac1 0.094 0.078 0.180
Nd1 0.082 0.420 0.164
Nd2 0.165 0.256 0.580
Nd3 0.239 0.409 0.984
Y1 0.000 0.257 0.750
```

ΔE_f	0.08	eV/atom
ΔE to the lowest computed polymorph	5	meV/atom
crystal system	monoclinic



Computed, not measured: crystalline Mg2BeAs at its relaxed geometry at the PBE-GGA level of DFT.

```
data_Mg2BeAs
_chemical_formula_sum 'Mg8 Be4 As4'
_cell_length_a 4.178
_cell_length_b 4.178
_cell_length_c 17.691
_cell_angle_alpha 90.00
_cell_angle_beta 90.00
_cell_angle_gamma 90.00
_symmetry_space_group_name_H-M 'I -4 2 d'
_symmetry_Int_Tables_number 122
_symmetry_space_group_name_Hall 'I -4 2bw'
loop_
_atom_site_label
_atom_site_fract_x
_atom_site_fract_y
_atom_site_fract_z
Mg1 0.234 0.250 0.125
Be1 0.000 0.000 0.000
As1 0.000 0.000 0.500
```

ΔE_f	0.27	eV/atom
ΔE to the lowest computed polymorph	448	meV/atom
crystal system	tetragonal



Computed, not measured: crystalline ZrHgOs4 at its relaxed geometry at the PBE-GGA level of DFT.

```
data_ZrHgOs4
_chemical_formula_sum 'Zr4 Hg4 Os16'
_cell_length_a 7.425
_cell_length_b 7.425
_cell_length_c 7.425
_cell_angle_alpha 90.00
_cell_angle_beta 90.00
_cell_angle_gamma 90.00
_symmetry_space_group_name_H-M 'F -4 3 m'
_symmetry_Int_Tables_number 216
_symmetry_space_group_name_Hall 'F -4 2 3'
loop_
_atom_site_label
_atom_site_fract_x
_atom_site_fract_y
_atom_site_fract_z
Zr1 0.000 0.000 0.000
Hg1 0.250 0.250 0.750
Os1 0.125 0.125 0.375
```

ΔE_f	0.24	eV/atom
crystal system	cubic



Computed, not measured: crystalline LaNd3Th4Se8 at its relaxed geometry at the PBE-GGA level of DFT.

```
data_LaNd3Th4Se8
_chemical_formula_sum 'La3 Nd9 Th12 Se24'
_cell_length_a 8.3753
_cell_length_b 8.3753
_cell_length_c 21.0605
_cell_angle_alpha 90.00
_cell_angle_beta 90.00
_cell_angle_gamma 120.00
_symmetry_space_group_name_H-M 'R -3 m'
_symmetry_Int_Tables_number 166
_symmetry_space_group_name_Hall '-R 3 2"'
loop_
_atom_site_label
_atom_site_fract_x
_atom_site_fract_y
_atom_site_fract_z
La1 0.0000 0.0000 0.0000
Nd1 0.0000 0.5000 0.0000
Th1 0.0000 0.0000 0.5000
Th2 0.0000 0.5000 0.5000
Se1 0.0000 0.0000 0.2504
Se2 0.0024 0.5012 0.2499
```

formation energy without anion corrections	-1.706	eV/atom
crystal system	trigonal